The following is a DFT calculation (PBE) of a geometry-optimized Al2CrIn structure. Values from VASP.

Geometry as Quantum ESPRESSO input:
```
&SYSTEM
  ibrav = 0, nat = 4, ntyp = 3
/
ATOMIC_SPECIES
Al 26.98 Al.upf
Cr 52.00 Cr.upf
In 114.82 In.upf
CELL_PARAMETERS angstrom
3.079 0.000 0.000
0.000 4.504 0.000
0.000 0.000 4.970
ATOMIC_POSITIONS angstrom
Al 0.000 0.000 0.000
Al 1.539 2.252 0.730
Cr 0.000 2.252 3.487
In 1.539 0.000 2.523
```

Results
E_form = 0.1849 eV per atom
E = -0.17554 Ha/atom
Magnetization = 2.56 μB/cell